CdFeSi | PBE-GGA | relaxed

**Crystal system**: hexagonal
**Excess energy over the best structure of this formula in the dataset**: 116.0 meV per atom
**VASP energy**: -4.72 eV per atom
**Calculated volume**: 15.44 Å³ per atom

CIF file:
```
data_CdFeSi
_chemical_formula_sum 'Cd1 Fe1 Si1'
_space_group_name_H-M_alt 'P -6 m 2'
_space_group_IT_number 187
_space_group_name_Hall 'P -6 2'
_cell_length_a 3.9322
_cell_length_b 3.9322
_cell_length_c 3.4592
_cell_angle_alpha 90.00
_cell_angle_beta 90.00
_cell_angle_gamma 120.00
loop_
_atom_site_label
_atom_site_type_symbol
_atom_site_fract_x
_atom_site_fract_y
_atom_site_fract_z
Cd1 Cd 0.0000 0.0000 0.0000
Fe1 Fe 0.6667 0.3333 0.5000
Si1 Si 0.3333 0.6667 0.5000
```